# PBE Na2TlIn2Pb, relaxed
# Total moment   0.0 μB/f.u.
# Fermi-level density of states   0.276 states/eV/atom
# Formation energy   -0.105 eV/atom
# Calculated total energy   -2.470 eV per atom
# Space group   No. 26
data_Na2TlIn2Pb
_space_group_name_H-M_alt 'P 1'
_space_group_IT_number 1
_cell_length_a 4.839
_cell_length_b 10.054
_cell_length_c 6.868
_cell_angle_alpha 90.00
_cell_angle_beta 90.00
_cell_angle_gamma 90.00
loop_
_space_group_symop_operation_xyz
'x,y,z'
loop_
_atom_site_label
_atom_site_type_symbol
_atom_site_fract_x
_atom_site_fract_y
_atom_site_fract_z
Na1 Na 0.000 0.164 0.000
Na2 Na 0.000 0.836 0.500
Na3 Na 0.500 0.332 0.738
Na4 Na 0.500 0.668 0.238
Tl1 Tl 0.000 0.173 0.502
Tl2 Tl 0.000 0.827 0.002
In1 In 0.000 0.499 0.986
In2 In 0.000 0.501 0.486
In3 In 0.500 0.346 0.241
In4 In 0.500 0.654 0.741
Pb1 Pb 0.500 0.017 0.254
Pb2 Pb 0.500 0.983 0.754